Material: BaMgAl2
Method: DFT, PBE-GGA
State: optimized geometry

CIF file:
```
data_BaMgAl2
_chemical_formula_sum 'Ba4 Mg4 Al8'
_space_group_name_H-M_alt 'I 41/a m d'
_space_group_IT_number 141
_cell_length_a 5.2835
_cell_length_b 5.2835
_cell_length_c 19.1791
_cell_angle_alpha 90.00
_cell_angle_beta 90.00
_cell_angle_gamma 90.00
loop_
_space_group_symop_operation_xyz
'x,y,z'
'-x,-y,-z'
'-y+1/4,x+3/4,z+1/4'
'y+1/4,-x+3/4,-z+1/4'
'-x+1/2,-y,z+1/2'
'x+1/2,y,-z+1/2'
'y+1/4,-x+1/4,z+3/4'
'-y+1/4,x+1/4,-z+3/4'
'x,-y,-z'
'-x,y,z'
'-y+1/4,-x+1/4,-z+3/4'
'y+1/4,x+1/4,z+3/4'
'-x+1/2,y,-z+1/2'
'x+1/2,-y,z+1/2'
'y+1/4,x+3/4,-z+1/4'
'-y+1/4,-x+3/4,z+1/4'
'x+1/2,y+1/2,z+1/2'
'-x+1/2,-y+1/2,-z+1/2'
'-y+3/4,x+1/4,z+3/4'
'y+3/4,-x+1/4,-z+3/4'
'-x,-y+1/2,z'
'x,y+1/2,-z'
'y+3/4,-x+3/4,z+1/4'
'-y+3/4,x+3/4,-z+1/4'
'x+1/2,-y+1/2,-z+1/2'
'-x+1/2,y+1/2,z+1/2'
'-y+3/4,-x+3/4,-z+1/4'
'y+3/4,x+3/4,z+1/4'
'-x,y+1/2,-z'
'x,-y+1/2,z'
'y+3/4,x+1/4,-z+3/4'
'-y+3/4,-x+1/4,z+3/4'
loop_
_atom_site_label
_atom_site_type_symbol
_atom_site_fract_x
_atom_site_fract_y
_atom_site_fract_z
Ba1 Ba 0.0000 0.2500 0.3750
Mg1 Mg 0.0000 0.2500 0.8750
Al1 Al 0.0000 0.0000 0.0000
```

## Properties
The value obtained for the formation energy is 0.1109 eV per atom. As for the raw total energy: -42.24 eV/cell.